(1)
Nd2AlSn after structural relaxation, computed with GGA-PBE.

## Properties
The value obtained for the density of states at the Fermi level is 8.522 states/eV/cell. Its formation energy is -3.6 kJ per mole of atoms. The value obtained for the total energy is -4.36 eV per atom.

abc: 3.5960 3.5960 33.2235
angles: 90.00 90.00 120.00
Space group R-3m (No. 166, hexagonal axes)
Unique sites:
Nd  0.0000  0.0000  0.0970 x6
Al  0.0000  0.0000  0.5000 x3
Sn  0.0000  0.0000  0.0000 x3

(2)
Nd5Al2Sn5 after structural relaxation, computed with GGA-PBE.

## Properties
The value obtained for the density of states at the Fermi level is 11.456 states/eV/cell. Its formation energy is -62.4 kJ per mole of atoms. The value obtained for the total energy is -4.92 eV per atom.

abc: 16.2116 4.5224 11.9125
angles: 90.00 129.65 90.00
Space group C2/m (No. 12)
Unique sites:
Nd  0.0000  0.0000  0.0000 x2
Nd  0.1108  0.0000  0.4251 x4
Nd  0.2020  0.0000  0.8334 x4
Al  0.1397  0.5000  0.2537 x4
Sn  0.0000  0.5000  0.5000 x2
Sn  0.0631  0.5000  0.8465 x4
Sn  0.2469  0.5000  0.6860 x4

(3)
NdAlSn after structural relaxation, computed with GGA-PBE.

## Properties
The value obtained for the density of states at the Fermi level is 4.049 states/eV/cell. Its formation energy is -31.9 kJ per mole of atoms. The value obtained for the total energy is -4.50 eV per atom.

abc: 3.6612 3.6612 11.3979
angles: 90.00 90.00 90.00
Space group I4mm (No. 107)
Unique sites:
Nd  0.0000  0.0000  0.0000 x2
Al  0.0000  0.0000  0.6815 x2
Sn  0.0000  0.0000  0.3026 x2

(4)
Nd2Al3Sn2 after structural relaxation, computed with GGA-PBE.

## Properties
The value obtained for the density of states at the Fermi level is 12.540 states/eV/cell. Its formation energy is -24.7 kJ per mole of atoms. The value obtained for the total energy is -4.37 eV per atom.

abc: 8.9774 8.9774 8.9774
angles: 90.00 90.00 90.00
Space group I2_13 (No. 199)
Unique sites:
Nd  0.0038  0.4962  0.5038 x8
Al  0.0000  0.2500  0.2268 x12
Sn  0.1990  0.3010  0.6990 x8

(5)
Nd5AlSn4 after structural relaxation, computed with GGA-PBE.

## Properties
The value obtained for the density of states at the Fermi level is 16.390 states/eV/cell. Its formation energy is -29.4 kJ per mole of atoms. The value obtained for the total energy is -4.66 eV per atom.

abc: 8.7808 9.3271 8.3086
angles: 90.00 90.00 90.00
Space group Pmmn (No. 59, origin choice 2)
Unique sites:
Nd  0.0307  0.0426  0.2391 x8
Nd  0.2500  0.2500  0.5954 x2
Al  0.2500  0.7500  0.2083 x2
Sn  0.0425  0.2500  0.9278 x4
Sn  0.2500  0.5864  0.5170 x4

(6)
NdAl2Sn after structural relaxation, computed with GGA-PBE.

## Properties
The value obtained for the density of states at the Fermi level is 1.826 states/eV/cell. Its formation energy is -37.9 kJ per mole of atoms. The value obtained for the total energy is -4.46 eV per atom.

abc: 4.5301 4.5301 4.4601
angles: 90.00 90.00 90.00
Space group P4/mmm (No. 123)
Unique sites:
Nd  0.0000  0.0000  0.0000 x1
Al  0.0000  0.5000  0.5000 x2
Sn  0.5000  0.5000  0.0000 x1

(7)
Nd2AlSn after structural relaxation, computed with GGA-PBE.

## Properties
The value obtained for the density of states at the Fermi level is 8.061 states/eV/cell. Its formation energy is -58.6 kJ per mole of atoms. The value obtained for the total energy is -4.93 eV per atom.

abc: 6.2697 4.2993 9.0809
angles: 90.00 108.10 90.00
Space group P2_1/m (No. 11)
Unique sites:
Nd  0.2045  0.2500  0.4265 x2
Nd  0.2839  0.7500  0.0664 x2
Al  0.1349  0.2500  0.7885 x2
Sn  0.3666  0.7500  0.7111 x2

(8)
SrNdAl2 after structural relaxation, computed with GGA-PBE.

## Properties
The value obtained for the density of states at the Fermi level is 13.722 states/eV/cell. The value obtained for the distance to the lowest polymorph of the same formula is 43 meV per atom. Its formation energy is -16.1 kJ per mole of atoms. The value obtained for the total energy is -3.65 eV per atom.

abc: 7.6494 7.6494 7.6494
angles: 90.00 90.00 90.00
Space group Fm-3m (No. 225)
Unique sites:
Sr  0.0000  0.0000  0.0000 x4
Nd  0.0000  0.0000  0.5000 x4
Al  0.2500  0.2500  0.2500 x8

(9)
SrNdAl6 after structural relaxation, computed with GGA-PBE.

## Properties
The value obtained for the density of states at the Fermi level is 3.437 states/eV/cell. Its formation energy is -27.1 kJ per mole of atoms. The value obtained for the total energy is -3.89 eV per atom.

abc: 4.5108 6.1620 6.3602
angles: 90.00 90.00 90.00
Space group Pmm2 (No. 25)
Unique sites:
Sr  0.0000  0.0000  0.0000 x1
Nd  0.5000  0.5000  0.2105 x1
Al  0.0000  0.2522  0.4729 x2
Al  0.0000  0.5000  0.8411 x1
Al  0.5000  0.0000  0.3876 x1
Al  0.5000  0.2671  0.7335 x2

(10)
SrNd2Al9 after structural relaxation, computed with GGA-PBE.

## Properties
The value obtained for the density of states at the Fermi level is 14.906 states/eV/cell. Its formation energy is -32.1 kJ per mole of atoms. The value obtained for the total energy is -4.07 eV per atom.

abc: 5.7531 5.7531 26.5641
angles: 90.00 90.00 120.00
Space group R-3m (No. 166, hexagonal axes)
Unique sites:
Sr  0.0000  0.0000  0.0000 x3
Nd  0.0000  0.0000  0.1416 x6
Al  0.0000  0.0000  0.3356 x6
Al  0.0000  0.0000  0.5000 x3
Al  0.0084  0.5042  0.9165 x18

(11)
SrNd2Al6 after structural relaxation, computed with GGA-PBE.

## Properties
The value obtained for the density of states at the Fermi level is 5.947 states/eV/cell. Its formation energy is -35.0 kJ per mole of atoms. The value obtained for the total energy is -4.10 eV per atom.

abc: 8.0215 8.0215 3.8360
angles: 90.00 90.00 120.00
Space group P6/mmm (No. 191)
Unique sites:
Sr  0.0000  0.0000  0.0000 x1
Nd  0.3333  0.6667  0.0000 x2
Al  0.0000  0.3364  0.5000 x6

(12)
SrNdAl2 after structural relaxation, computed with GGA-PBE.

## Properties
The value obtained for the density of states at the Fermi level is 2.351 states/eV/cell. The value obtained for the distance to the lowest polymorph of the same formula is 0 meV per atom. Its formation energy is -20.3 kJ per mole of atoms. The value obtained for the total energy is -3.69 eV per atom.

abc: 3.7959 3.7959 7.8145
angles: 90.00 90.00 90.00
Space group P4/mmm (No. 123)
Unique sites:
Sr  0.0000  0.0000  0.0000 x1
Nd  0.0000  0.0000  0.5000 x1
Al  0.5000  0.5000  0.2707 x2

(13)
SrNdAlZn after structural relaxation, computed with GGA-PBE.

## Properties
The value obtained for the density of states at the Fermi level is 13.134 states/eV/cell. Its formation energy is -18.8 kJ per mole of atoms. The value obtained for the total energy is -3.06 eV per atom.

abc: 7.6461 7.6461 7.6461
angles: 90.00 90.00 90.00
Space group F-43m (No. 216)
Unique sites:
Sr  0.0000  0.0000  0.0000 x4
Nd  0.0000  0.0000  0.5000 x4
Al  0.2500  0.2500  0.2500 x4
Zn  0.2500  0.2500  0.7500 x4

(14)
Nd6Ta4Al43 after structural relaxation, computed with GGA-PBE.

## Properties
The value obtained for the density of states at the Fermi level is 33.570 states/eV/cell. Its formation energy is -29.7 kJ per mole of atoms. The value obtained for the total energy is -4.78 eV per atom.

abc: 11.2037 11.2037 18.0296
angles: 90.00 90.00 120.00
Space group P6_3/mcm (No. 193)
Unique sites:
Nd  0.0000  0.4715  0.0960 x12
Ta  0.0000  0.0000  0.0000 x2
Ta  0.0000  0.2718  0.2500 x6
Al  0.0000  0.1467  0.7500 x6
Al  0.0000  0.1582  0.1155 x12
Al  0.0000  0.2533  0.5295 x12
Al  0.1494  0.5542  0.2500 x12
Al  0.1580  0.3940  0.6646 x24
Al  0.2469  0.4938  0.0000 x12
Al  0.3333  0.6667  0.1261 x8

(15)
TbNd4Al2 after structural relaxation, computed with GGA-PBE.

## Properties
The value obtained for the density of states at the Fermi level is 13.977 states/eV/cell. Its formation energy is -16.5 kJ per mole of atoms. The value obtained for the total energy is -4.63 eV per atom.

abc: 5.3846 5.3846 24.5084
angles: 90.00 90.00 120.00
Space group R-3m (No. 166, hexagonal axes)
Unique sites:
Tb  0.0000  0.0000  0.0000 x3
Nd  0.0000  0.0000  0.1513 x6
Nd  0.0000  0.0000  0.4101 x6
Al  0.0000  0.0000  0.2792 x6

(16)
Tb7NdAl5 after structural relaxation, computed with GGA-PBE.

## Properties
The value obtained for the density of states at the Fermi level is 25.330 states/eV/cell. Its formation energy is -21.8 kJ per mole of atoms. The value obtained for the total energy is -4.52 eV per atom.

abc: 6.1570 10.2752 10.8229
angles: 90.00 90.00 90.00
Space group Imm2 (No. 44)
Unique sites:
Tb  0.0000  0.0000  0.0000 x2
Tb  0.0000  0.0000  0.3273 x2
Tb  0.0000  0.3058  0.1581 x4
Tb  0.0000  0.3371  0.6734 x4
Tb  0.0000  0.5000  0.3945 x2
Nd  0.0000  0.0000  0.6543 x2
Al  0.0000  0.5000  0.9260 x2
Al  0.2494  0.2409  0.4195 x8

(17)
Tb3NdAl8 after structural relaxation, computed with GGA-PBE.

## Properties
The value obtained for the density of states at the Fermi level is 31.712 states/eV/cell. The value obtained for the distance to the lowest polymorph of the same formula is 0 meV per atom. Its formation energy is -49.4 kJ per mole of atoms. The value obtained for the total energy is -4.56 eV per atom.

abc: 5.5971 5.5971 27.5525
angles: 90.00 90.00 120.00
Space group R3m (No. 160, hexagonal axes)
Unique sites:
Tb  0.0000  0.0000  0.0000 x3
Tb  0.0000  0.0000  0.1242 x3
Tb  0.0000  0.0000  0.4996 x3
Nd  0.0000  0.0000  0.6246 x3
Al  0.0000  0.0000  0.3124 x3
Al  0.0000  0.0000  0.8119 x3
Al  0.9996  0.4998  0.5613 x9
Al  0.0007  0.5003  0.0629 x9

(18)
TbNd12Al6 after structural relaxation, computed with GGA-PBE.

## Properties
The value obtained for the density of states at the Fermi level is 60.612 states/eV/cell. Its formation energy is -12.4 kJ per mole of atoms. The value obtained for the total energy is -4.57 eV per atom.

abc: 11.3753 11.3753 14.5899
angles: 90.00 90.00 120.00
Space group R-3 (No. 148, hexagonal axes)
Unique sites:
Tb  0.0000  0.0000  0.0000 x3
Nd  0.0388  0.1924  0.8055 x18
Nd  0.0632  0.8404  0.4118 x18
Al  0.0345  0.4421  0.7052 x18